{
  "formula": "Ca2ScPaN4",
  "functional": "PBE",
  "state": "optimized geometry",
  "magmom_total_mub_per_cell": 0.0,
  "space_group": "P2/m",
  "e_form_raw_ev_per_atom": -1.53,
  "lattice": [[3.4885, 0.0000, 0.0000], [0.0000, 5.9701, -0.1939], [0.0000, 2.0390, 5.5013]],
  "species": ["N", "N", "N", "N", "Ca", "Ca", "Pa", "Sc"],
  "frac_coords": [[0.0000, 0.7149, 0.7548], [0.0000, 0.2851, 0.2452], [0.5000, 0.7155, 0.2608], [0.5000, 0.2845, 0.7392], [0.5000, 0.0000, 0.5000], [0.0000, 0.0000, 0.0000], [0.0000, 0.5000, 0.5000], [0.5000, 0.5000, 0.0000]]
}

***

{
  "formula": "HfScPa2As4",
  "functional": "PBE",
  "state": "optimized geometry",
  "magmom_total_mub_per_cell": 0.0,
  "formation_enthalpy_0k_ev_per_fu": -8.93,
  "space_group": "P2/m",
  "lattice": [[3.9960, 0.0000, 0.0000], [0.0000, 6.8238, -0.1000], [0.0000, 2.4357, 6.4673]],
  "species": ["As", "As", "As", "As", "Pa", "Pa", "Sc", "Hf"],
  "frac_coords": [[0.5000, 0.7323, 0.2559], [0.0000, 0.7324, 0.7555], [0.0000, 0.2676, 0.2445], [0.5000, 0.2677, 0.7441], [0.5000, 0.0000, 0.5000], [0.0000, 0.0000, 0.0000], [0.5000, 0.5000, 0.0000], [0.0000, 0.5000, 0.5000]]
}

***

{
  "formula": "SrHo2H",
  "functional": "PBE",
  "state": "optimized geometry",
  "final_energy_ev_per_atom": -3.5070,
  "magmom_total_mub_per_cell": 0.1,
  "space_group": "R-3m",
  "lattice": [[3.6228, 0.0000, 0.0000], [1.8114, 3.1375, 0.0000], [1.8114, 1.0458, 9.7560]],
  "species": ["Sr", "H", "Ho", "Ho"],
  "frac_coords": [[0.0000, 0.0000, 0.0000], [0.5000, 0.5000, 0.5000], [0.8781, 0.8781, 0.3657], [0.1219, 0.1219, 0.6343]]
}

***

{
  "formula": "RbNaErF6",
  "functional": "PBE",
  "state": "optimized geometry",
  "magmom_total_mub_per_cell": 2.0,
  "space_group": "Imma",
  "e_form_raw_ev_per_atom": -2.99,
  "lattice": [[8.2835, 0.0000, 0.0000], [0.0000, 7.0735, 0.0000], [-4.1418, -3.5368, 5.9415]],
  "species": ["F", "F", "F", "F", "F", "F", "F", "F", "F", "F", "F", "F", "Rb", "Rb", "Er", "Er", "Na", "Na"],
  "frac_coords": [[0.4136, 0.0907, 0.2509], [0.4136, 0.6602, 0.2509], [0.5864, 0.3398, 0.7491], [0.8374, 0.0907, 0.2509], [0.8374, 0.6602, 0.2509], [0.5864, 0.9093, 0.7491], [0.1970, 0.9470, 0.3941], [0.3718, 0.6218, 0.7435], [0.6282, 0.3782, 0.2565], [0.1626, 0.9093, 0.7491], [0.8030, 0.0530, 0.6059], [0.1626, 0.3398, 0.7491], [0.1342, 0.3842, 0.2684], [0.8658, 0.6158, 0.7316], [0.0000, 0.0000, 0.5000], [0.5000, 0.0000, 0.5000], [0.5000, 0.5000, 0.0000], [0.5000, 0.0000, 0.0000]]
}

***

{
  "formula": "KTa2Te",
  "functional": "PBE",
  "state": "optimized geometry",
  "magmom_total_mub_per_cell": 0.7,
  "space_group": "Pmmm",
  "e_form_raw_ev_per_atom": 1.05,
  "lattice": [[3.5716, 0.0000, 0.0000], [0.0000, 4.8336, 0.0000], [0.0000, 0.0000, 5.3569]],
  "species": ["Ta", "Ta", "K", "Te"],
  "frac_coords": [[0.0000, 0.0000, 0.0000], [0.5000, 0.5000, 0.0000], [0.0000, 0.5000, 0.5000], [0.5000, 0.0000, 0.5000]]
}

***

{
  "formula": "Nd6Sm2ErMg",
  "functional": "PBE",
  "state": "optimized geometry",
  "magmom_total_mub_per_cell": 0.0,
  "formation_enthalpy_0k_ev_per_fu": 1.11,
  "space_group": "C2/c",
  "lattice": [[2.4043, 9.2921, 1.5300], [-5.7127, 1.8172, -6.5025], [-3.4643, -1.1614, 8.0542]],
  "species": ["Nd", "Nd", "Nd", "Nd", "Nd", "Nd", "Nd", "Nd", "Nd", "Nd", "Nd", "Nd", "Sm", "Sm", "Sm", "Sm", "Er", "Er", "Mg", "Mg"],
  "frac_coords": [[0.6137, 0.5036, 0.7052], [0.5508, 0.7587, 0.1242], [0.4492, 0.2413, 0.8758], [0.8863, 0.2948, 0.4964], [0.3057, 0.9985, 0.4295], [0.9492, 0.8758, 0.2413], [0.6943, 0.0015, 0.5705], [0.1943, 0.5705, 0.0015], [0.1137, 0.7052, 0.5036], [0.3863, 0.4964, 0.2948], [0.8057, 0.4295, 0.9985], [0.0508, 0.1242, 0.7587], [0.0506, 0.2965, 0.2007], [0.4494, 0.7993, 0.7035], [0.9494, 0.7035, 0.7993], [0.5506, 0.2007, 0.2965], [0.2500, 0.9814, 0.0186], [0.7500, 0.0186, 0.9814], [0.2500, 0.4081, 0.5919], [0.7500, 0.5919, 0.4081]]
}

***

Please write out number 6 again, unchanged.
{
  "formula": "Nd6Sm2ErMg",
  "functional": "PBE",
  "state": "optimized geometry",
  "magmom_total_mub_per_cell": 0.0,
  "formation_enthalpy_0k_ev_per_fu": 1.11,
  "space_group": "C2/c",
  "lattice": [[2.4043, 9.2921, 1.5300], [-5.7127, 1.8172, -6.5025], [-3.4643, -1.1614, 8.0542]],
  "species": ["Nd", "Nd", "Nd", "Nd", "Nd", "Nd", "Nd", "Nd", "Nd", "Nd", "Nd", "Nd", "Sm", "Sm", "Sm", "Sm", "Er", "Er", "Mg", "Mg"],
  "frac_coords": [[0.6137, 0.5036, 0.7052], [0.5508, 0.7587, 0.1242], [0.4492, 0.2413, 0.8758], [0.8863, 0.2948, 0.4964], [0.3057, 0.9985, 0.4295], [0.9492, 0.8758, 0.2413], [0.6943, 0.0015, 0.5705], [0.1943, 0.5705, 0.0015], [0.1137, 0.7052, 0.5036], [0.3863, 0.4964, 0.2948], [0.8057, 0.4295, 0.9985], [0.0508, 0.1242, 0.7587], [0.0506, 0.2965, 0.2007], [0.4494, 0.7993, 0.7035], [0.9494, 0.7035, 0.7993], [0.5506, 0.2007, 0.2965], [0.2500, 0.9814, 0.0186], [0.7500, 0.0186, 0.9814], [0.2500, 0.4081, 0.5919], [0.7500, 0.5919, 0.4081]]
}